Record 1
DFT (GGA-PBEsol) results for an optimized crystal structure of PIr2Pb.

Lattice parameters (Å, degrees): 3.3500 3.3500 6.0391 90.00 90.00 90.00
Fractional positions:
Ir 0.5000 0.5000 0.3091
Ir 0.0000 0.0000 0.0188
P 0.0000 0.0000 0.3974
Pb 0.5000 0.5000 0.7747

- N(E_F) (states/eV per atom) = 0.8563
- calculated density (g/cm3) = 15.25
- energy relative to the lowest polymorph listed for this composition (meV per atom) = 0.0
- spin magnetization (μB per atom) = 0.000
- energy relative to the elements (eV/atom) = 0.17

=====

Record 2
DFT (GGA-PBEsol) results for an optimized crystal structure of Zn2FeIr.

Lattice parameters (Å, degrees): 2.7598 4.4511 4.5430 102.08 107.68 90.00
Site moments in Bohr magnetons follow the coordinates.
Fractional positions:
Ir 0.0000 0.5000 0.0000  0.17
Zn 0.2487 0.2465 0.4973  -0.03
Zn 0.7513 0.7535 0.5027  -0.03
Fe 0.5000 0.0000 0.0000  2.35

- N(E_F) (states/eV per atom) = 0.5892
- calculated density (g/cm3) = 12.13
- spin magnetization (μB per atom) = 0.617
- energy relative to the elements (eV/atom) = -0.06

=====

Record 3
DFT (GGA-PBEsol) results for an optimized crystal structure of BeGaCl3.

Lattice parameters (Å, degrees): 4.8190 4.8190 4.8190 90.00 90.00 90.00
Site moments in Bohr magnetons follow the coordinates.
Fractional positions:
Be 0.5000 0.5000 0.5000  0.17
Cl 0.0000 0.5000 0.0000  0.02
Ga 0.0000 0.0000 0.0000  -0.02
Cl 0.0000 0.0000 0.5000  0.02
Cl 0.5000 0.0000 0.0000  0.02

- N(E_F) (states/eV per atom) = 0.3112
- calculated density (g/cm3) = 2.75
- spin magnetization (μB per atom) = 0.095
- formation energy (no corrections) (kJ/mol of formula units) = -23

=====

Record 4
DFT (GGA-PBEsol) results for an optimized crystal structure of Be2Hg.

Lattice parameters (Å, degrees): 2.8001 2.8001 5.3978 105.03 105.03 90.00
Fractional positions:
Hg 0.0000 0.0000 0.0000
Be 0.3042 0.3042 0.6084
Be 0.6958 0.6958 0.3916

- N(E_F) (states/eV per atom) = 0.1874
- calculated density (g/cm3) = 9.22
- energy relative to the lowest polymorph listed for this composition (meV per atom) = 84.1
- spin magnetization (μB per atom) = 0.000
- energy relative to the elements (eV/atom) = 0.46

=====

Record 5
DFT (GGA-PBEsol) results for an optimized crystal structure of SnPS2Br.

Lattice parameters (Å, degrees): 4.8082 4.8082 5.3709 90.00 90.00 90.00
Fractional positions:
S 0.0000 0.5000 0.0000
Br 0.5000 0.5000 0.5000
P 0.0000 0.0000 0.5000
Sn 0.0000 0.0000 0.0000
S 0.5000 0.0000 0.0000

- N(E_F) (states/eV per atom) = 0.8782
- calculated density (g/cm3) = 3.93
- spin magnetization (μB per atom) = 0.000
- formation energy (no corrections) (kJ/mol of formula units) = 362

=====

Record 6
DFT (GGA-PBEsol) results for an optimized crystal structure of Hf2AlZnRe.

Lattice parameters (Å, degrees): 4.7798 4.9308 4.9308 90.00 90.00 90.00
Fractional positions:
Hf 0.0000 0.5000 0.0000
Zn 0.5000 0.0000 0.0000
Hf 0.0000 0.0000 0.5000
Al 0.5000 0.5000 0.5000
Re 0.0000 0.0000 0.0000

- N(E_F) (states/eV per atom) = 0.7525
- calculated density (g/cm3) = 9.08
- spin magnetization (μB per atom) = 0.000
- energy relative to the elements (eV/atom) = 0.79

=====

Please write out number 3 again, unchanged.
DFT (GGA-PBEsol) results for an optimized crystal structure of BeGaCl3.

Lattice parameters (Å, degrees): 4.8190 4.8190 4.8190 90.00 90.00 90.00
Site moments in Bohr magnetons follow the coordinates.
Fractional positions:
Be 0.5000 0.5000 0.5000  0.17
Cl 0.0000 0.5000 0.0000  0.02
Ga 0.0000 0.0000 0.0000  -0.02
Cl 0.0000 0.0000 0.5000  0.02
Cl 0.5000 0.0000 0.0000  0.02

- N(E_F) (states/eV per atom) = 0.3112
- calculated density (g/cm3) = 2.75
- spin magnetization (μB per atom) = 0.095
- formation energy (no corrections) (kJ/mol of formula units) = -23

=====

The highest spin magnetization belongs to which entry?
Zn2FeIr

=====

What is the formula in the first record?
PIr2Pb

=====

The highest calculated density belongs to which entry?
PIr2Pb